No. 1
Pr7Nd4Er: optimized geometry, PBE.

Cell: 8.837 8.837 9.479 Å, 114.30 114.30 40.64°
Positions (direct):
Pr  0.000  0.000  0.000
Pr  0.292  0.292  0.777
Pr  0.293  0.293  0.126
Pr  0.419  0.419  0.565
Pr  0.581  0.581  0.435
Pr  0.707  0.707  0.874
Pr  0.708  0.708  0.223
Nd  0.073  0.073  0.700
Nd  0.173  0.173  0.389
Nd  0.827  0.827  0.611
Nd  0.927  0.927  0.300
Er  0.500  0.500  0.000

Calculated values
Energy relative to the elements (eV per atom): 0.206
Magnetization (μB/f.u.): 0.36
Symmetry: C2/m (12)
Relative energy among the computed polymorphs (kJ/mol of formula units): 223



No. 2
PrNdEr: optimized geometry, PBE.

Cell: 11.642 11.824 3.495 Å, 90.00 90.00 90.00°
Positions (direct):
Pr  0.000  0.238  0.000
Pr  0.000  0.762  0.000
Pr  0.500  0.262  0.000
Pr  0.500  0.738  0.000
Nd  0.000  0.000  0.500
Nd  0.000  0.500  0.000
Nd  0.500  0.000  0.000
Nd  0.500  0.500  0.500
Er  0.236  0.500  0.500
Er  0.264  0.000  0.500
Er  0.736  0.000  0.500
Er  0.764  0.500  0.500

Calculated values
Energy relative to the elements (eV per atom): 0.656
Magnetization (μB/f.u.): 0.00
Symmetry: Cmmm (65)
Relative energy among the computed polymorphs (kJ/mol of formula units): 182



No. 3
Pr5Nd2Er2: optimized geometry, PBE.

Cell: 6.348 6.348 10.978 Å, 106.82 106.82 48.15°
Positions (direct):
Pr  0.000  0.000  0.000
Pr  0.333  0.333  0.111
Pr  0.333  0.333  0.445
Pr  0.667  0.667  0.555
Pr  0.667  0.667  0.889
Nd  0.001  0.001  0.669
Nd  0.999  0.999  0.331
Er  0.333  0.333  0.777
Er  0.667  0.667  0.223

Calculated values
Energy relative to the elements (eV per atom): 0.016
Magnetization (μB/f.u.): 0.00
Symmetry: C2/m (12)
Relative energy among the computed polymorphs (kJ/mol of formula units): 0



No. 4
PrNd4Er15: optimized geometry, PBE.

Cell: 5.031 5.031 25.008 Å, 90.00 90.00 90.00°
Positions (direct):
Pr  0.000  0.000  0.000
Nd  0.000  0.000  0.200
Nd  0.000  0.000  0.400
Nd  0.000  0.000  0.600
Nd  0.000  0.000  0.800
Er  0.000  0.500  0.100
Er  0.000  0.500  0.300
Er  0.000  0.500  0.500
Er  0.000  0.500  0.700
Er  0.000  0.500  0.900
Er  0.500  0.000  0.100
Er  0.500  0.000  0.300
Er  0.500  0.000  0.500
Er  0.500  0.000  0.700
Er  0.500  0.000  0.900
Er  0.500  0.500  0.000
Er  0.500  0.500  0.200
Er  0.500  0.500  0.400
Er  0.500  0.500  0.600
Er  0.500  0.500  0.800

Calculated values
Energy relative to the elements (eV per atom): 0.024
Magnetization (μB/f.u.): 0.00
Symmetry: P4/mmm (123)



No. 5
PrNdEr2: optimized geometry, PBE.

Cell: 5.678 10.244 10.039 Å, 90.00 105.74 90.00°
Positions (direct):
Pr  0.000  0.041  0.250
Pr  0.000  0.959  0.750
Pr  0.500  0.459  0.750
Pr  0.500  0.541  0.250
Nd  0.000  0.293  0.750
Nd  0.000  0.707  0.250
Nd  0.500  0.207  0.250
Nd  0.500  0.793  0.750
Er  0.077  0.373  0.412
Er  0.077  0.627  0.912
Er  0.423  0.127  0.588
Er  0.423  0.873  0.088
Er  0.577  0.127  0.912
Er  0.577  0.873  0.412
Er  0.923  0.373  0.088
Er  0.923  0.627  0.588

Calculated values
Energy relative to the elements (eV per atom): 0.210
Magnetization (μB/f.u.): 0.00
Symmetry: C2/c (15)
Relative energy among the computed polymorphs (kJ/mol of formula units): 75



No. 6
Pr2Nd7Er3: optimized geometry, PBE.

Cell: 19.536 19.536 3.670 Å, 90.00 90.00 162.79°
Positions (direct):
Pr  0.149  0.851  0.000
Pr  0.851  0.149  0.000
Nd  0.000  0.000  0.000
Nd  0.071  0.929  0.500
Nd  0.232  0.768  0.000
Nd  0.410  0.590  0.000
Nd  0.590  0.410  0.000
Nd  0.768  0.232  0.000
Nd  0.929  0.071  0.500
Er  0.315  0.685  0.500
Er  0.500  0.500  0.500
Er  0.685  0.315  0.500

Calculated values
Energy relative to the elements (eV per atom): 0.116
Magnetization (μB/f.u.): 0.00
Symmetry: Cmmm (65)
Relative energy among the computed polymorphs (kJ/mol of formula units): 59



No. 7
Pr4NdEr3: optimized geometry, PBE.

Cell: 11.705 7.366 6.345 Å, 90.00 90.00 90.00°
Positions (direct):
Pr  0.000  0.130  0.000
Pr  0.000  0.869  0.515
Pr  0.244  0.126  0.344
Pr  0.256  0.874  0.844
Pr  0.500  0.131  0.015
Pr  0.500  0.870  0.500
Pr  0.744  0.874  0.844
Pr  0.756  0.126  0.344
Nd  0.000  0.625  0.011
Nd  0.500  0.375  0.511
Er  0.000  0.381  0.508
Er  0.250  0.381  0.842
Er  0.250  0.619  0.342
Er  0.500  0.619  0.008
Er  0.750  0.381  0.842
Er  0.750  0.619  0.342

Calculated values
Energy relative to the elements (eV per atom): 0.031
Magnetization (μB/f.u.): 0.01
Symmetry: Pmn2_1 (31)
Relative energy among the computed polymorphs (kJ/mol of formula units): 11



No. 8
Pr3Nd3Er2: optimized geometry, PBE.

Cell: 5.177 5.178 20.508 Å, 90.00 90.00 90.00°
Positions (direct):
Pr  0.000  0.000  0.000
Pr  0.000  0.500  0.372
Pr  0.000  0.500  0.628
Pr  0.500  0.000  0.128
Pr  0.500  0.000  0.872
Pr  0.500  0.500  0.500
Nd  0.000  0.000  0.500
Nd  0.000  0.500  0.128
Nd  0.000  0.500  0.872
Nd  0.500  0.000  0.372
Nd  0.500  0.000  0.628
Nd  0.500  0.500  0.000
Er  0.000  0.000  0.250
Er  0.000  0.000  0.750
Er  0.500  0.500  0.250
Er  0.500  0.500  0.750

Calculated values
Energy relative to the elements (eV per atom): 0.019
Magnetization (μB/f.u.): 0.00
Symmetry: Immm (71)
Relative energy among the computed polymorphs (kJ/mol of formula units): 0



No. 9
PrNd2Er: optimized geometry, PBE.

Cell: 4.261 4.261 7.578 Å, 90.00 90.00 90.00°
Positions (direct):
Pr  0.000  0.000  0.000
Nd  0.500  0.500  0.262
Nd  0.500  0.500  0.738
Er  0.000  0.000  0.500

Calculated values
Energy relative to the elements (eV per atom): 0.109
Magnetization (μB/f.u.): 0.00
Symmetry: P4/mmm (123)
Relative energy among the computed polymorphs (kJ/mol of formula units): 36



No. 10
PrNd2Er9: optimized geometry, PBE.

Cell: 5.023 5.023 15.069 Å, 90.00 90.00 90.00°
Positions (direct):
Pr  0.000  0.000  0.000
Nd  0.000  0.000  0.334
Nd  0.000  0.000  0.666
Er  0.000  0.500  0.167
Er  0.000  0.500  0.500
Er  0.000  0.500  0.833
Er  0.500  0.000  0.167
Er  0.500  0.000  0.500
Er  0.500  0.000  0.833
Er  0.500  0.500  0.000
Er  0.500  0.500  0.334
Er  0.500  0.500  0.666

Calculated values
Energy relative to the elements (eV per atom): 0.026
Magnetization (μB/f.u.): 0.00
Symmetry: P4/mmm (123)
Relative energy among the computed polymorphs (kJ/mol of formula units): 0



No. 11
Pr8Nd4Er: optimized geometry, PBE.

Cell: 7.950 7.950 7.950 Å, 97.39 97.39 97.39°
Positions (direct):
Pr  0.168  0.168  0.669
Pr  0.168  0.669  0.168
Pr  0.242  0.242  0.242
Pr  0.331  0.832  0.832
Pr  0.669  0.168  0.168
Pr  0.758  0.758  0.758
Pr  0.832  0.331  0.832
Pr  0.832  0.832  0.331
Nd  0.000  0.000  0.000
Nd  0.000  0.500  0.500
Nd  0.500  0.000  0.500
Nd  0.500  0.500  0.000
Er  0.500  0.500  0.500

Calculated values
Energy relative to the elements (eV per atom): 0.388
Magnetization (μB/f.u.): 0.00
Symmetry: R-3m (166)



No. 12
Pr12NdEr3: optimized geometry, PBE.

Cell: 5.192 5.192 20.754 Å, 90.00 90.00 90.00°
Positions (direct):
Pr  0.000  0.000  0.000
Pr  0.000  0.000  0.248
Pr  0.000  0.000  0.500
Pr  0.000  0.000  0.752
Pr  0.000  0.500  0.124
Pr  0.000  0.500  0.373
Pr  0.000  0.500  0.627
Pr  0.000  0.500  0.876
Pr  0.500  0.000  0.124
Pr  0.500  0.000  0.373
Pr  0.500  0.000  0.627
Pr  0.500  0.000  0.876
Nd  0.500  0.500  0.500
Er  0.500  0.500  0.000
Er  0.500  0.500  0.248
Er  0.500  0.500  0.752

Calculated values
Energy relative to the elements (eV per atom): 0.013
Magnetization (μB/f.u.): 0.00
Symmetry: P4/mmm (123)